VASP calculation (PBE with a Hubbard U) on a geometry-optimized BaV2ZnO7 structure.

Output
Density of states at the Fermi level: 0.0000 states/eV/atom
Energy above the lowest structure with this stoichiometry: 0.0 kJ/mol of atoms
E_tot: -6.90 eV/atom

a b c (Å): 5.8186 15.2348 9.2859
angles (deg): 90.00 123.44 90.00
Space group P2_1/c (No. 14)
Unique sites:
Ba  0.0230  0.2147  0.3588 [4 per cell]
V  0.3932  0.0693  0.2216 [4 per cell]
V  0.4554  0.6298  0.6659 [4 per cell]
Zn  0.1333  0.5648  0.8662 [4 per cell]
O  0.1872  0.1427  0.7315 [4 per cell]
O  0.1941  0.0526  0.3076 [4 per cell]
O  0.2591  0.5713  0.1111 [4 per cell]
O  0.2845  0.7071  0.5127 [4 per cell]
O  0.3177  0.1674  0.1242 [4 per cell]
O  0.3374  0.5208  0.5770 [4 per cell]
O  0.3645  0.6430  0.8144 [4 per cell]